Entry 1:
## Rb3Na5Cd6 (PBE)

Data for Rb3Na5Cd6 after structural relaxation.

Structure (POSCAR):
```
Rb3Na5Cd6
1.0
-1.131 2.795 -4.131
-10.388 -1.345 -1.230
-4.543 8.664 3.939
Rb Na Cd
3 5 6
Cartesian
-10.519 5.873 0.522 Rb
0.000 0.000 0.000 Rb
-5.543 4.241 -1.944 Rb
-7.465 3.660 1.355 Na
-4.267 0.478 -1.674 Na
-11.795 9.636 0.252 Na
-13.886 6.056 -1.597 Na
-2.176 4.058 0.175 Na
-8.693 9.134 -0.938 Cd
-9.333 2.827 -1.863 Cd
-6.728 7.288 0.441 Cd
-4.773 5.425 1.811 Cd
-7.369 0.980 -0.484 Cd
-11.288 4.689 -3.233 Cd
```

- energy of formation from the pure elements (kJ per mole of atoms) = -5.23
- symmetry = Immm (71)

---

Entry 2:
## Rb6Na3Cd (PBE)

Data for Rb6Na3Cd after structural relaxation.

Structure (POSCAR):
```
Rb6Na3Cd
1.0
-0.215 6.328 5.327
-11.707 1.856 -2.677
-3.446 -7.814 9.143
Rb Cd Na
12 2 6
Cartesian
-9.732 -2.514 3.893 Rb
-5.636 2.884 7.900 Rb
-8.676 3.908 4.649 Rb
-6.692 -3.538 7.144 Rb
-10.823 1.299 1.235 Rb
-4.187 5.898 4.669 Rb
-11.690 0.748 6.075 Rb
-2.219 2.350 2.246 Rb
-4.546 -0.929 10.558 Rb
-3.679 -0.378 5.718 Rb
-11.182 -5.527 7.124 Rb
-13.149 -1.979 9.547 Rb
0.000 0.000 0.000 Cd
-7.684 0.185 5.897 Cd
-1.097 3.287 6.371 Na
-14.272 -2.916 5.423 Na
-1.723 -3.907 4.571 Na
-5.961 4.092 1.325 Na
-8.651 -0.361 9.041 Na
-6.718 0.731 2.753 Na
```

- energy of formation from the pure elements (kJ per mole of atoms) = 2.59
- symmetry = P2_1/c (14)